Computed, not measured: crystalline HoZnTe at its relaxed geometry at the PBE level of DFT.

```
3
Lattice="0.0000 3.4329 3.4329 3.4329 0.0000 3.4329 3.4329 3.4329 0.0000" Properties=species:S:1:pos:R:3 pbc="T T T"
Zn 0.0000 0.0000 0.0000
Ho 1.7165 1.7165 1.7165
Te 5.1494 5.1494 5.1494
```

Summary:
Relative energy among the computed polymorphs ... 116.1 meV per atom
Space-group type ... No. 216

=====

Computed, not measured: crystalline HoZrTe at its relaxed geometry at the PBE level of DFT.

```
3
Lattice="2.1154 -4.1759 -1.3900 -2.6111 -3.3989 -2.3398 0.8091 -0.8685 -4.7367" Properties=species:S:1:pos:R:3 pbc="T T T"
Ho 0.1567 -4.2216 -4.2333
Te 0.0783 -2.1108 -2.1166
Zr 0.0000 0.0000 0.0000
```

Summary:
Relative energy among the computed polymorphs ... 0.0 meV per atom
Space-group type ... No. 216

=====

Computed, not measured: crystalline HoTh2 at its relaxed geometry at the PBE level of DFT.

```
6
Lattice="4.4258 2.5552 7.2273 -4.4258 2.5552 7.2273 0.0000 -5.1105 7.2273" Properties=species:S:1:pos:R:3 pbc="T T T"
Th 0.0000 -2.5552 11.7444
Th -2.2129 1.2776 11.7444
Th 2.2129 1.2776 11.7444
Th 0.0000 0.0000 8.1307
Ho 0.0000 0.0000 10.8410
Ho 0.0000 0.0000 5.4205
```

Summary:
Formation energy from the elements ... 2807 meV/atom
Space-group type ... No. 227

=====

Computed, not measured: crystalline HoThU at its relaxed geometry at the PBE level of DFT.

```
3
Lattice="0.0000 3.6770 3.6770 3.6770 0.0000 3.6770 3.6770 3.6770 0.0000" Properties=species:S:1:pos:R:3 pbc="T T T"
Th 5.5155 5.5155 5.5155
Ho 1.8385 1.8385 1.8385
U 0.0000 0.0000 0.0000
```

Summary:
Relative energy among the computed polymorphs ... 0.0 meV per atom
Formation energy from the elements ... 1168 meV/atom
Space-group type ... No. 216